Record 1
The following is a PBE calculation of an optimized crystal structure of Pr2PdPt, from Alexandria via LeMat-Bulk.

Computed properties:
Volume   25.02 A^3/atom
Total moment   0.0 μB per formula unit
Calculated formation energy   -22.23 kcal/mol of atoms
Space group   P2_1/m

abc: 5.8260 4.6232 7.9024
angles: 90.00 109.86 90.00
With the nearest neighbours (Å) after each atom.
Fractional coordinates of all 8 atoms:
Pr1 0.2248 0.2500 0.4342  4 Pt 3.04-3.16, 3 Pd 3.10-3.14
Pr2 0.2296 0.2500 0.9292  4 Pd 3.04-3.12, 3 Pt 3.07-3.14
Pr3 0.7704 0.7500 0.0708  4 Pd 3.04-3.12, 3 Pt 3.07-3.14
Pr4 0.7752 0.7500 0.5658  4 Pt 3.04-3.16, 3 Pd 3.10-3.14
Pd1 0.3254 0.7500 0.2066  2 Pt 2.99, 7 Pr 3.04-3.14
Pd2 0.6746 0.2500 0.7934  2 Pt 2.99, 7 Pr 3.04-3.14
Pt1 0.3295 0.7500 0.7073  2 Pd 2.99, 7 Pr 3.04-3.16
Pt2 0.6705 0.2500 0.2927  2 Pd 2.99, 7 Pr 3.04-3.16


Record 2
The following is a PBE calculation of an optimized crystal structure of BaPICl2, from Alexandria via LeMat-Bulk.

Computed properties:
Volume   33.13 A^3/atom
E above lowest polymorph   0.13 eV/f.u.
Total moment   0.0 μB per formula unit
Space group   P4/mmm
Formation energy without anion corrections   -0.422 eV/atom

abc: 5.5764 5.5764 5.3262
angles: 90.00 90.00 90.00
With the nearest neighbours (Å) after each atom.
Fractional coordinates of all 5 atoms:
Ba1 0.0000 0.0000 0.0000  8 Cl 3.86, 4 P 3.94
P1 0.5000 0.5000 0.0000  2 I 2.66
I1 0.5000 0.5000 0.5000  2 P 2.66, 4 Cl 2.79
Cl1 0.0000 0.5000 0.5000  2 I 2.79
Cl2 0.5000 0.0000 0.5000  2 I 2.79


Record 3
The following is a PBE calculation of an optimized crystal structure of Rb3Ce2SnS6, from Alexandria via LeMat-Bulk.

Computed properties:
Volume   29.62 A^3/atom
Total moment   1.0 μB per formula unit
Space group   C2/m
Formation energy without anion corrections   -1.481 eV/atom

abc: 7.3479 7.3479 7.9826
angles: 98.81 98.81 119.97
With the nearest neighbours (Å) after each atom.
Fractional coordinates of all 12 atoms:
Rb1 0.0000 0.0000 0.0000  6 S 3.31-3.41
Rb2 0.3389 0.6611 0.0000  6 S 3.34-3.42
Rb3 0.6611 0.3389 0.0000  6 S 3.34-3.42
Ce1 0.1671 0.8329 0.5000  6 S 2.81-2.82
Ce2 0.8329 0.1671 0.5000  6 S 2.81-2.82
Sn1 0.5000 0.5000 0.5000  6 S 2.95-2.96
S1 0.0870 0.4350 0.3052  2 Ce 2.81-2.82, 1 Sn 2.96
S2 0.2166 0.2166 0.6930  2 Ce 2.82, 1 Sn 2.95
S3 0.4350 0.0870 0.3052  2 Ce 2.81-2.82, 1 Sn 2.96
S4 0.5650 0.9130 0.6948  2 Ce 2.81-2.82, 1 Sn 2.96
S5 0.7834 0.7834 0.3070  2 Ce 2.82, 1 Sn 2.95
S6 0.9130 0.5650 0.6948  2 Ce 2.81-2.82, 1 Sn 2.96


Record 4
The following is a PBE calculation of an optimized crystal structure of Tm2Ga5Ni5, from Alexandria via LeMat-Bulk.

Computed properties:
Volume   15.19 A^3/atom
Total moment   0.0 μB per formula unit
Calculated formation energy   -12.59 kcal/mol of atoms
Space group   Pmmm

abc: 4.0235 5.1512 8.7932
angles: 90.00 90.00 90.00
With the nearest neighbours (Å) after each atom.
Fractional coordinates of all 12 atoms:
Tm1 0.0000 0.0000 0.0000  10 Ni 2.95-3.27, 8 Ga 3.17
Tm2 0.0000 0.5000 0.5000  6 Ni 2.89-2.95
Ga1 0.5000 0.0000 0.5000  4 Ni 2.48, 4 Ga 2.66
Ga2 0.5000 0.2504 0.2360  5 Ni 2.44-2.54, 3 Ga 2.57-2.66
Ga3 0.5000 0.2504 0.7640  5 Ni 2.44-2.54, 3 Ga 2.57-2.66
Ga4 0.5000 0.7496 0.2360  5 Ni 2.44-2.54, 3 Ga 2.57-2.66
Ga5 0.5000 0.7496 0.7640  5 Ni 2.44-2.54, 3 Ga 2.57-2.66
Ni1 0.0000 0.0000 0.3353  6 Ga 2.48-2.54
Ni2 0.0000 0.0000 0.6647  6 Ga 2.48-2.54
Ni3 0.0000 0.5000 0.1709  4 Ga 2.46, 2 Ni 2.51
Ni4 0.0000 0.5000 0.8291  4 Ga 2.46, 2 Ni 2.51
Ni5 0.5000 0.5000 0.0000  4 Ga 2.44, 4 Ni 2.51


Record 5
The following is a PBE calculation of an optimized crystal structure of KBeAs, from Alexandria via LeMat-Bulk.

Computed properties:
Volume   50.72 A^3/atom
Total moment   0.0 μB per formula unit
Calculated formation energy   1.76 kcal/mol of atoms
Space group   Fmm2

abc: 8.7285 6.3699 6.6030
angles: 84.55 46.59 48.86
With the nearest neighbours (Å) after each atom.
Fractional coordinates of all 3 atoms:
K1 0.0000 0.0000 0.0000  1 Be 3.14, 3 As 3.32-3.38
Be1 0.2598 0.2598 0.7402  2 As 2.04
As1 0.7251 0.7251 0.2749  2 Be 2.04


Record 6
The following is a PBE calculation of an optimized crystal structure of LiMg8Cd2, from Alexandria via LeMat-Bulk.

Computed properties:
Volume   22.10 A^3/atom
E above lowest polymorph   0.00 eV/f.u.
Total moment   0.0 μB per formula unit
Calculated formation energy   -1.02 kcal/mol of atoms
Space group   C2/m

abc: 7.9856 7.9856 7.2872
angles: 108.82 108.82 33.76
With the nearest neighbours (Å) after each atom.
Fractional coordinates of all 11 atoms:
Li1 0.0000 0.0000 0.0000  12 Mg 3.03-3.28
Mg1 0.0942 0.0942 0.4574  3 Cd 3.05-3.10, 8 Mg 3.14-3.28, 1 Li 3.15
Mg2 0.1813 0.1813 0.9172  3 Cd 3.01-3.28, 1 Li 3.03, 8 Mg 3.08-3.27
Mg3 0.3624 0.3624 0.8095  3 Cd 3.06-3.14, 7 Mg 3.09-3.27, 2 Li 3.12
Mg4 0.4510 0.4510 0.2695  1 Cd 3.00, 9 Mg 3.08-3.28, 2 Li 3.28
Mg5 0.5490 0.5490 0.7305  1 Cd 3.00, 9 Mg 3.08-3.28, 2 Li 3.28
Mg6 0.6376 0.6376 0.1905  3 Cd 3.06-3.14, 7 Mg 3.09-3.27, 2 Li 3.12
Mg7 0.8187 0.8187 0.0828  3 Cd 3.01-3.28, 1 Li 3.03, 8 Mg 3.08-3.27
Mg8 0.9058 0.9058 0.5426  3 Cd 3.05-3.10, 8 Mg 3.14-3.28, 1 Li 3.15
Cd1 0.2715 0.2715 0.3533  10 Mg 3.00-3.28
Cd2 0.7285 0.7285 0.6467  10 Mg 3.00-3.28


Record 7
The following is a PBE calculation of an optimized crystal structure of TbGe7Ir3, from Alexandria via LeMat-Bulk.

Computed properties:
Volume   17.30 A^3/atom
Total moment   0.0 μB per formula unit
Calculated formation energy   -10.94 kcal/mol of atoms
Space group   R-3c

abc: 8.3540 8.3540 8.3540
angles: 56.68 56.68 56.68
With the nearest neighbours (Å) after each atom.
Fractional coordinates of all 22 atoms:
Tb1 0.0000 0.0000 0.0000  6 Ir 3.22, 12 Ge 3.28-3.29
Tb2 0.5000 0.5000 0.5000  6 Ir 3.22, 12 Ge 3.28-3.29
Ge1 0.0728 0.8508 0.6679  3 Ir 2.56-2.63, 3 Ge 2.79-2.80
Ge2 0.1492 0.3321 0.9272  3 Ir 2.56-2.63, 3 Ge 2.79-2.80
Ge3 0.1679 0.3508 0.5728  3 Ir 2.56-2.63, 3 Ge 2.79-2.80
Ge4 0.2500 0.2500 0.2500  3 Ir 2.53
Ge5 0.3321 0.9272 0.1492  3 Ir 2.56-2.63, 3 Ge 2.79-2.80
Ge6 0.3508 0.5728 0.1679  3 Ir 2.56-2.63, 3 Ge 2.79-2.80
Ge7 0.4272 0.8321 0.6492  3 Ir 2.56-2.63, 3 Ge 2.79-2.80
Ge8 0.5728 0.1679 0.3508  3 Ir 2.56-2.63, 3 Ge 2.79-2.80
Ge9 0.6492 0.4272 0.8321  3 Ir 2.56-2.63, 3 Ge 2.79-2.80
Ge10 0.6679 0.0728 0.8508  3 Ir 2.56-2.63, 3 Ge 2.79-2.80
Ge11 0.7500 0.7500 0.7500  3 Ir 2.53
Ge12 0.8321 0.6492 0.4272  3 Ir 2.56-2.63, 3 Ge 2.79-2.80
Ge13 0.8508 0.6679 0.0728  3 Ir 2.56-2.63, 3 Ge 2.79-2.80
Ge14 0.9272 0.1492 0.3321  3 Ir 2.56-2.63, 3 Ge 2.79-2.80
Ir1 0.0689 0.7500 0.4311  7 Ge 2.53-2.63
Ir2 0.2500 0.5689 0.9311  7 Ge 2.53-2.63
Ir3 0.4311 0.0689 0.7500  7 Ge 2.53-2.63
Ir4 0.5689 0.9311 0.2500  7 Ge 2.53-2.63
Ir5 0.7500 0.4311 0.0689  7 Ge 2.53-2.63
Ir6 0.9311 0.2500 0.5689  7 Ge 2.53-2.63


Record 8
The following is a PBE calculation of an optimized crystal structure of MgCdSn, from Alexandria via LeMat-Bulk.

Computed properties:
Volume   23.97 A^3/atom
Total moment   0.0 μB per formula unit
Calculated formation energy   -0.71 kcal/mol of atoms
Space group   P2_1/m

abc: 5.3039 3.3207 8.1756
angles: 90.00 92.92 90.00
With the nearest neighbours (Å) after each atom.
Fractional coordinates of all 6 atoms:
Mg1 0.0919 0.2500 0.3304  5 Sn 3.12-3.18, 3 Cd 3.18-3.27, 4 Mg 3.32-3.42
Mg2 0.9081 0.7500 0.6696  5 Sn 3.12-3.18, 3 Cd 3.18-3.27, 4 Mg 3.32-3.42
Cd1 0.2419 0.7500 0.0043  6 Cd 3.05-3.32, 3 Sn 3.16-3.34, 3 Mg 3.18-3.27
Cd2 0.7581 0.2500 0.9957  6 Cd 3.05-3.32, 3 Sn 3.16-3.34, 3 Mg 3.18-3.27
Sn1 0.4064 0.2500 0.6721  5 Mg 3.12-3.18, 3 Cd 3.16-3.34, 4 Sn 3.32-3.46
Sn2 0.5936 0.7500 0.3279  5 Mg 3.12-3.18, 3 Cd 3.16-3.34, 4 Sn 3.32-3.46


Record 9
The following is a PBE calculation of an optimized crystal structure of Sm2GaP, from Alexandria via LeMat-Bulk.

Computed properties:
Volume   30.50 A^3/atom
E above lowest polymorph   2.16 eV/f.u.
Total moment   0.0 μB per formula unit
Calculated formation energy   -12.62 kcal/mol of atoms
Space group   R-3m

abc: 9.7827 9.7827 9.7827
angles: 22.67 22.67 22.67
With the nearest neighbours (Å) after each atom.
Fractional coordinates of all 4 atoms:
Sm1 0.1085 0.1085 0.1085  3 P 2.77, 1 Ga 3.10
Sm2 0.8915 0.8915 0.8915  3 P 2.77, 1 Ga 3.10
Ga1 0.0000 0.0000 0.0000  2 Sm 3.10
P1 0.5000 0.5000 0.5000  6 Sm 2.77


Record 10
The following is a PBE calculation of an optimized crystal structure of Mg6TlRh, from Alexandria via LeMat-Bulk.

Computed properties:
Volume   20.31 A^3/atom
E above lowest polymorph   0.00 eV/f.u.
Total moment   0.0 μB per formula unit
Calculated formation energy   -3.43 kcal/mol of atoms
Space group   Cmmm

abc: 7.4492 7.4492 12.5638
angles: 90.00 90.00 111.24
With the nearest neighbours (Å) after each atom.
Fractional coordinates of all 32 atoms:
Mg1 0.0000 0.0000 0.0000  8 Mg 2.92, 4 Rh 3.04-3.17
Mg2 0.0000 0.0000 0.5000  8 Mg 2.97, 2 Tl 3.23, 2 Rh 3.24
Mg3 0.1035 0.3466 0.3615  1 Rh 2.84, 4 Mg 2.97-3.10, 2 Tl 3.10
Mg4 0.1035 0.3466 0.6385  1 Rh 2.84, 4 Mg 2.97-3.10, 2 Tl 3.10
Mg5 0.1083 0.3653 0.1149  8 Mg 2.86-3.16, 3 Rh 2.93-3.00, 1 Tl 3.19
Mg6 0.1083 0.3653 0.8851  8 Mg 2.86-3.16, 3 Rh 2.93-3.00, 1 Tl 3.19
Mg7 0.2491 0.7509 0.2286  6 Mg 2.86-3.03, 2 Rh 2.87-3.07, 1 Tl 3.09
Mg8 0.2491 0.7509 0.7714  6 Mg 2.86-3.03, 2 Rh 2.87-3.07, 1 Tl 3.09
Mg9 0.3466 0.1035 0.3615  1 Rh 2.84, 4 Mg 2.97-3.10, 2 Tl 3.10
Mg10 0.3466 0.1035 0.6385  1 Rh 2.84, 4 Mg 2.97-3.10, 2 Tl 3.10
Mg11 0.3653 0.1083 0.1149  8 Mg 2.86-3.16, 3 Rh 2.93-3.00, 1 Tl 3.19
Mg12 0.3653 0.1083 0.8851  8 Mg 2.86-3.16, 3 Rh 2.93-3.00, 1 Tl 3.19
Mg13 0.5000 0.5000 0.0000  2 Rh 2.98, 8 Mg 3.08, 2 Tl 3.11
Mg14 0.5000 0.5000 0.5000  4 Tl 2.92-3.17, 8 Mg 3.26
Mg15 0.6347 0.8917 0.1149  8 Mg 2.86-3.16, 3 Rh 2.93-3.00, 1 Tl 3.19
Mg16 0.6347 0.8917 0.8851  8 Mg 2.86-3.16, 3 Rh 2.93-3.00, 1 Tl 3.19
Mg17 0.6534 0.8965 0.3615  1 Rh 2.84, 4 Mg 2.97-3.10, 2 Tl 3.10
Mg18 0.6534 0.8965 0.6385  1 Rh 2.84, 4 Mg 2.97-3.10, 2 Tl 3.10
Mg19 0.7509 0.2491 0.2286  6 Mg 2.86-3.03, 2 Rh 2.87-3.07, 1 Tl 3.09
Mg20 0.7509 0.2491 0.7714  6 Mg 2.86-3.03, 2 Rh 2.87-3.07, 1 Tl 3.09
Mg21 0.8917 0.6347 0.1149  8 Mg 2.86-3.16, 3 Rh 2.93-3.00, 1 Tl 3.19
Mg22 0.8917 0.6347 0.8851  8 Mg 2.86-3.16, 3 Rh 2.93-3.00, 1 Tl 3.19
Mg23 0.8965 0.6534 0.3615  1 Rh 2.84, 4 Mg 2.97-3.10, 2 Tl 3.10
Mg24 0.8965 0.6534 0.6385  1 Rh 2.84, 4 Mg 2.97-3.10, 2 Tl 3.10
Tl1 0.2626 0.7374 0.5000  10 Mg 2.92-3.23
Tl2 0.5000 0.5000 0.2474  12 Mg 3.09-3.19
Tl3 0.5000 0.5000 0.7526  12 Mg 3.09-3.19
Tl4 0.7374 0.2626 0.5000  10 Mg 2.92-3.23
Rh1 0.0000 0.0000 0.2418  11 Mg 2.84-3.07
Rh2 0.0000 0.0000 0.7582  11 Mg 2.84-3.07
Rh3 0.2577 0.7423 0.0000  12 Mg 2.87-3.17
Rh4 0.7423 0.2577 0.0000  12 Mg 2.87-3.17


Record 11
The following is a PBE calculation of an optimized crystal structure of K3Tb2US6, from Alexandria via LeMat-Bulk.

Computed properties:
Volume   26.55 A^3/atom
Total moment   3.0 μB per formula unit
Space group   C2/m
Formation energy without anion corrections   -1.695 eV/atom

abc: 7.0608 7.0608 7.7461
angles: 98.73 98.73 120.01
With the nearest neighbours (Å) after each atom.
Fractional coordinates of all 12 atoms:
K1 0.0000 0.0000 0.0000  6 S 3.22
K2 0.3323 0.6677 0.0000  6 S 3.21-3.22
K3 0.6677 0.3323 0.0000  6 S 3.21-3.22
Tb1 0.1666 0.8334 0.5000  6 S 2.79
Tb2 0.8334 0.1666 0.5000  6 S 2.79
U1 0.5000 0.5000 0.5000  6 S 2.79
S1 0.0991 0.4324 0.2969  1 U 2.79, 2 Tb 2.79
S2 0.2346 0.2346 0.7033  1 U 2.79, 2 Tb 2.79
S3 0.4324 0.0991 0.2969  1 U 2.79, 2 Tb 2.79
S4 0.5676 0.9009 0.7031  1 U 2.79, 2 Tb 2.79
S5 0.7654 0.7654 0.2967  1 U 2.79, 2 Tb 2.79
S6 0.9009 0.5676 0.7031  1 U 2.79, 2 Tb 2.79


Record 12
The following is a PBE calculation of an optimized crystal structure of Ti6MnPt3, from Alexandria via LeMat-Bulk.

Computed properties:
Volume   18.44 A^3/atom
Total moment   0.0 μB per formula unit
Calculated formation energy   -5.24 kcal/mol of atoms
Space group   C2/m

abc: 6.3667 6.3667 6.5822
angles: 119.97 119.97 57.18
With the nearest neighbours (Å) after each atom.
Fractional coordinates of all 10 atoms:
Ti1 0.1598 0.6732 0.6424  1 Mn 2.22
Ti2 0.2379 0.2379 0.8712  1 Mn 2.38, 2 Pt 2.55-2.57
Ti3 0.3268 0.8402 0.3576  1 Mn 2.22
Ti4 0.6732 0.1598 0.6424  1 Mn 2.22
Ti5 0.7621 0.7621 0.1288  1 Mn 2.38, 2 Pt 2.55-2.57
Ti6 0.8402 0.3268 0.3576  1 Mn 2.22
Mn1 0.0000 0.0000 0.5000  6 Ti 2.22-2.38
Pt1 0.2472 0.2472 0.2702  5 Ti 2.57-2.66
Pt2 0.5000 0.5000 0.0000  6 Ti 2.52-2.55
Pt3 0.7528 0.7528 0.7298  5 Ti 2.57-2.66